No. 1
TbSmY3Th PBE relaxed; size of the total moment = 0.0 μB/f.u.; ΔE_f = 28.3 meV per atom; space-group type = P2_1/m, No. 11; volume = 391.0 Å³ per cell; total DFT energy (no corrections) = -71.98 eV/cell
1.0
-4.3911 2.5579 -0.1151
-4.0067 -6.8245 1.1968
2.9175 5.4040 8.7886
Tb Sm Y Th
2 2 6 2
Direct
0.2500 0.1282 0.6280
0.7500 0.8718 0.3720
0.2500 0.1216 0.2921
0.7500 0.8784 0.7079
0.7500 0.8683 0.0431
0.2500 0.1317 0.9569
0.2500 0.6259 0.4564
0.7500 0.3741 0.5436
0.7500 0.3820 0.2065
0.2500 0.6180 0.7935
0.2500 0.6220 0.1220
0.7500 0.3780 0.8780

No. 2
AlSe PBE relaxed; size of the total moment = 0.0 μB/f.u.; space-group type = Pm-3m, No. 221; formation energy without anion corrections = -6.83 kJ/mol of atoms; volume = 37.7 Å³ per cell; total DFT energy (no corrections) = -7.37 eV/cell
1.0
-1.9557 2.2849 1.4827
-2.3715 -0.5305 -2.3105
-1.3398 -2.3962 1.9253
Al Se
1 1
Direct
0.0000 0.0000 0.0000
0.5000 0.5000 0.5000

No. 3
ThGe2Ir3 PBE relaxed; size of the total moment = 0.0 μB/f.u.; ΔE_f = -596.3 meV per atom; space-group type = C2/m, No. 12; volume = 218.9 Å³ per cell; total DFT energy (no corrections) = -93.63 eV/cell
1.0
-3.6804 -1.8705 -0.4050
5.4267 -6.0785 0.0044
-1.9701 2.4165 6.7421
Th Ge Ir
2 4 6
Direct
0.8456 0.6911 0.9229
0.1544 0.3089 0.0771
0.4844 0.9688 0.8202
0.5156 0.0312 0.1798
0.8128 0.6257 0.3322
0.1872 0.3743 0.6678
0.3185 0.6371 0.5728
0.9651 0.9301 0.6352
0.6199 0.2399 0.7362
0.3801 0.7601 0.2638
0.0349 0.0699 0.3648
0.6815 0.3629 0.4272

No. 4
K3RuBr2Cl6 PBE relaxed; size of the total moment = 3.2 μB/f.u.; space-group type = C2/m, No. 12; formation energy without anion corrections = -105.02 kJ/mol of atoms; volume = 395.3 Å³ per cell; total DFT energy (no corrections) = -40.06 eV/cell
1.0
5.6684 0.0000 0.2343
0.0000 8.6081 0.0000
-0.5569 -4.3041 8.0776
K Ru Br Cl
3 1 2 6
Direct
0.0000 0.5000 0.0000
0.5000 0.5000 0.5000
0.5000 0.0000 0.5000
0.5000 0.0000 0.0000
0.0795 0.6971 0.3941
0.9205 0.3029 0.6059
0.7266 0.2587 0.1312
0.2734 0.7413 0.8688
0.7456 0.8879 0.7757
0.2544 0.1121 0.2243
0.2734 0.1275 0.8688
0.7266 0.8725 0.1312